# PBE Dy2YPu, optimized geometry
data_Dy2YPu
_chemical_formula_sum 'Dy2 Y1 Pu1'
_cell_length_a 5.7501
_cell_length_b 5.7501
_cell_length_c 3.7191
_cell_angle_alpha 90.00
_cell_angle_beta 90.00
_cell_angle_gamma 90.00
_space_group_name_H-M_alt 'P 4/m m m'
_space_group_IT_number 123
_space_group_name_Hall '-P 4 2'
loop_
_atom_site_label
_atom_site_type_symbol
_atom_site_fract_x
_atom_site_fract_y
_atom_site_fract_z
Dy1 Dy 0.0000 0.5000 0.0000
Y1 Y 0.0000 0.0000 0.5000
Pu1 Pu 0.5000 0.5000 0.5000
# DOS(E_F) = 2.75 states/eV/atom
# formation energy = 0.18 eV per atom
# distance to the lowest polymorph of the same formula = 0.084 eV/atom
# energy = -7.321 eV/atom



# PBE Dy3Y3Pu, optimized geometry
data_Dy3Y3Pu
_chemical_formula_sum 'Dy18 Y18 Pu6'
_cell_length_a 6.1680
_cell_length_b 6.1680
_cell_length_c 41.9373
_cell_angle_alpha 90.00
_cell_angle_beta 90.00
_cell_angle_gamma 120.00
_space_group_name_H-M_alt 'R -3'
_space_group_IT_number 148
_space_group_name_Hall '-R 3'
loop_
_atom_site_label
_atom_site_type_symbol
_atom_site_fract_x
_atom_site_fract_y
_atom_site_fract_z
Dy1 Dy 0.9999 0.3325 0.4358
Y1 Y 0.0000 0.3321 0.6321
Pu1 Pu 0.0000 0.0000 0.1667
# DOS(E_F) = 2.44 states/eV/atom
# formation energy = 0.19 eV per atom
# energy = -6.599 eV/atom



# PBE DyY6Pu, optimized geometry
data_DyY6Pu
_chemical_formula_sum 'Dy2 Y12 Pu2'
_cell_length_a 4.9842
_cell_length_b 10.0672
_cell_length_c 10.0793
_cell_angle_alpha 90.00
_cell_angle_beta 90.00
_cell_angle_gamma 90.00
_space_group_name_H-M_alt 'A m m 2'
_space_group_IT_number 38
loop_
_space_group_symop_operation_xyz
'x,y,z'
'-x,-y,z'
'-x,y,z'
'x,-y,z'
'x,y+1/2,z+1/2'
'-x,-y+1/2,z+1/2'
'-x,y+1/2,z+1/2'
'x,-y+1/2,z+1/2'
loop_
_atom_site_label
_atom_site_type_symbol
_atom_site_fract_x
_atom_site_fract_y
_atom_site_fract_z
Dy1 Dy 0.0000 0.0000 0.0000
Y1 Y 0.0000 0.0000 0.4933
Y2 Y 0.0000 0.2467 0.2465
Y3 Y 0.5000 0.0000 0.7471
Y4 Y 0.5000 0.2493 0.9966
Pu1 Pu 0.5000 0.0000 0.2456
# DOS(E_F) = 2.20 states/eV/atom
# formation energy = 0.07 eV per atom
# energy = -7.146 eV/atom



# PBE Dy4Y8Pu, optimized geometry
data_Dy4Y8Pu
_chemical_formula_sum 'Dy12 Y24 Pu3'
_cell_length_a 10.9653
_cell_length_b 10.9653
_cell_length_c 13.3928
_cell_angle_alpha 90.00
_cell_angle_beta 90.00
_cell_angle_gamma 120.00
_space_group_name_H-M_alt 'R -3 m'
_space_group_IT_number 166
_space_group_name_Hall '-R 3 2"'
loop_
_atom_site_label
_atom_site_type_symbol
_atom_site_fract_x
_atom_site_fract_y
_atom_site_fract_z
Dy1 Dy 0.0000 0.0000 0.0000
Dy2 Dy 0.0000 0.5000 0.0000
Y1 Y 0.0000 0.0000 0.2445
Y2 Y 0.0070 0.5035 0.7478
Pu1 Pu 0.0000 0.0000 0.5000
# DOS(E_F) = 1.57 states/eV/atom
# formation energy = 0.52 eV per atom
# energy = -5.973 eV/atom



# PBE DyYPu2, optimized geometry
data_DyYPu2
_chemical_formula_sum 'Dy3 Y3 Pu6'
_cell_length_a 3.4435
_cell_length_b 3.4435
_cell_length_c 35.0448
_cell_angle_alpha 90.00
_cell_angle_beta 90.00
_cell_angle_gamma 120.00
_space_group_name_H-M_alt 'R 3 m'
_space_group_IT_number 160
_space_group_name_Hall 'R 3 -2"'
loop_
_atom_site_label
_atom_site_type_symbol
_atom_site_fract_x
_atom_site_fract_y
_atom_site_fract_z
Dy1 Dy 0.0000 0.0000 0.0000
Y1 Y 0.0000 0.0000 0.5072
Pu1 Pu 0.0000 0.0000 0.0917
Pu2 Pu 0.0000 0.0000 0.2550
# DOS(E_F) = 4.20 states/eV/atom
# formation energy = 0.25 eV per atom
# distance to the lowest polymorph of the same formula = 0.065 eV/atom
# energy = -9.681 eV/atom



# PBE DyPu3Zn8, optimized geometry
data_DyPu3Zn8
_chemical_formula_sum 'Dy1 Pu3 Zn8'
_cell_length_a 5.5131
_cell_length_b 5.5131
_cell_length_c 8.6716
_cell_angle_alpha 90.00
_cell_angle_beta 90.00
_cell_angle_gamma 120.00
_space_group_name_H-M_alt 'P 3 m 1'
_space_group_IT_number 156
loop_
_space_group_symop_operation_xyz
'x,y,z'
'-y,x-y,z'
'-x+y,-x,z'
'-y,-x,z'
'-x+y,y,z'
'x,x-y,z'
loop_
_atom_site_label
_atom_site_type_symbol
_atom_site_fract_x
_atom_site_fract_y
_atom_site_fract_z
Dy1 Dy 0.0000 0.0000 0.0000
Pu1 Pu 0.0000 0.0000 0.3828
Pu2 Pu 0.6667 0.3333 0.4956
Pu3 Pu 0.6667 0.3333 0.8579
Zn1 Zn 0.1670 0.3340 0.6847
Zn2 Zn 0.3333 0.6667 0.4329
Zn3 Zn 0.3333 0.6667 0.9359
Zn4 Zn 0.5019 0.0038 0.1833
# DOS(E_F) = 2.78 states/eV/atom
# formation energy = -0.16 eV per atom
# energy = -4.979 eV/atom



# PBE Dy3PuZn4, optimized geometry
data_Dy3PuZn4
_chemical_formula_sum 'Dy3 Pu1 Zn4'
_cell_length_a 3.5588
_cell_length_b 3.5588
_cell_length_c 14.3103
_cell_angle_alpha 90.00
_cell_angle_beta 90.00
_cell_angle_gamma 90.00
_space_group_name_H-M_alt 'P 4/m m m'
_space_group_IT_number 123
_space_group_name_Hall '-P 4 2'
loop_
_atom_site_label
_atom_site_type_symbol
_atom_site_fract_x
_atom_site_fract_y
_atom_site_fract_z
Dy1 Dy 0.0000 0.0000 0.0000
Dy2 Dy 0.0000 0.0000 0.2483
Pu1 Pu 0.0000 0.0000 0.5000
Zn1 Zn 0.5000 0.5000 0.1244
Zn2 Zn 0.5000 0.5000 0.3695
# DOS(E_F) = 1.29 states/eV/atom
# formation energy = -0.26 eV per atom
# energy = -4.417 eV/atom



# PBE Dy2PuZn, optimized geometry
data_Dy2PuZn
_chemical_formula_sum 'Dy8 Pu4 Zn4'
_cell_length_a 7.4650
_cell_length_b 7.4650
_cell_length_c 7.4650
_cell_angle_alpha 90.00
_cell_angle_beta 90.00
_cell_angle_gamma 90.00
_space_group_name_H-M_alt 'F m -3 m'
_space_group_IT_number 225
_space_group_name_Hall '-F 4 2 3'
loop_
_atom_site_label
_atom_site_type_symbol
_atom_site_fract_x
_atom_site_fract_y
_atom_site_fract_z
Dy1 Dy 0.2500 0.2500 0.2500
Pu1 Pu 0.0000 0.0000 0.0000
Zn1 Zn 0.0000 0.0000 0.5000
# DOS(E_F) = 3.35 states/eV/atom
# formation energy = 0.12 eV per atom
# distance to the lowest polymorph of the same formula = 0.201 eV/atom
# energy = -6.078 eV/atom



# PBE DyPu2Zn9, optimized geometry
data_DyPu2Zn9
_chemical_formula_sum 'Dy3 Pu6 Zn27'
_cell_length_a 5.3592
_cell_length_b 5.3592
_cell_length_c 26.3240
_cell_angle_alpha 90.00
_cell_angle_beta 90.00
_cell_angle_gamma 120.00
_space_group_name_H-M_alt 'R -3 m'
_space_group_IT_number 166
_space_group_name_Hall '-R 3 2"'
loop_
_atom_site_label
_atom_site_type_symbol
_atom_site_fract_x
_atom_site_fract_y
_atom_site_fract_z
Dy1 Dy 0.0000 0.0000 0.0000
Pu1 Pu 0.0000 0.0000 0.1479
Zn1 Zn 0.0000 0.0000 0.3352
Zn2 Zn 0.0000 0.0000 0.5000
Zn3 Zn 0.0035 0.5017 0.9189
# DOS(E_F) = 1.14 states/eV/atom
# formation energy = -0.20 eV per atom
# energy = -3.932 eV/atom



# PBE Dy2PuZn, optimized geometry
data_Dy2PuZn
_chemical_formula_sum 'Dy6 Pu3 Zn3'
_cell_length_a 3.5361
_cell_length_b 3.5361
_cell_length_c 30.4153
_cell_angle_alpha 90.00
_cell_angle_beta 90.00
_cell_angle_gamma 120.00
_space_group_name_H-M_alt 'R 3 m'
_space_group_IT_number 160
_space_group_name_Hall 'R 3 -2"'
loop_
_atom_site_label
_atom_site_type_symbol
_atom_site_fract_x
_atom_site_fract_y
_atom_site_fract_z
Dy1 Dy 0.0000 0.0000 0.0000
Dy2 Dy 0.0000 0.0000 0.1853
Pu1 Pu 0.0000 0.0000 0.7595
Zn1 Zn 0.0000 0.0000 0.5929
# DOS(E_F) = 2.29 states/eV/atom
# formation energy = 0.02 eV per atom
# distance to the lowest polymorph of the same formula = 0.099 eV/atom
# energy = -6.181 eV/atom



# PBE Dy2PuZn, optimized geometry
data_Dy2PuZn
_chemical_formula_sum 'Dy6 Pu3 Zn3'
_cell_length_a 3.4027
_cell_length_b 3.4027
_cell_length_c 33.6576
_cell_angle_alpha 90.00
_cell_angle_beta 90.00
_cell_angle_gamma 120.00
_space_group_name_H-M_alt 'R -3 m'
_space_group_IT_number 166
_space_group_name_Hall '-R 3 2"'
loop_
_atom_site_label
_atom_site_type_symbol
_atom_site_fract_x
_atom_site_fract_y
_atom_site_fract_z
Dy1 Dy 0.0000 0.0000 0.0989
Pu1 Pu 0.0000 0.0000 0.0000
Zn1 Zn 0.0000 0.0000 0.5000
# DOS(E_F) = 2.91 states/eV/atom
# formation energy = 0.22 eV per atom
# distance to the lowest polymorph of the same formula = 0.294 eV/atom
# energy = -5.985 eV/atom



# PBE Dy2PuZn6, optimized geometry
data_Dy2PuZn6
_chemical_formula_sum 'Dy2 Pu1 Zn6'
_cell_length_a 7.8733
_cell_length_b 7.8733
_cell_length_c 3.3570
_cell_angle_alpha 90.00
_cell_angle_beta 90.00
_cell_angle_gamma 120.00
_space_group_name_H-M_alt 'P 6/m m m'
_space_group_IT_number 191
_space_group_name_Hall '-P 6 2'
loop_
_atom_site_label
_atom_site_type_symbol
_atom_site_fract_x
_atom_site_fract_y
_atom_site_fract_z
Dy1 Dy 0.3333 0.6667 0.0000
Pu1 Pu 0.0000 0.0000 0.0000
Zn1 Zn 0.0000 0.3352 0.5000
# DOS(E_F) = 1.53 states/eV/atom
# formation energy = -0.28 eV per atom
# energy = -3.749 eV/atom



# PBE DyPuZn10, optimized geometry
data_DyPuZn10
_chemical_formula_sum 'Dy1 Pu1 Zn10'
_cell_length_a 4.2424
_cell_length_b 5.3182
_cell_length_c 9.2196
_cell_angle_alpha 90.00
_cell_angle_beta 90.00
_cell_angle_gamma 90.00
_space_group_name_H-M_alt 'P m m m'
_space_group_IT_number 47
loop_
_space_group_symop_operation_xyz
'x,y,z'
'-x,-y,-z'
'-x,-y,z'
'x,y,-z'
'x,-y,-z'
'-x,y,z'
'-x,y,-z'
'x,-y,z'
loop_
_atom_site_label
_atom_site_type_symbol
_atom_site_fract_x
_atom_site_fract_y
_atom_site_fract_z
Dy1 Dy 0.0000 0.0000 0.0000
Pu1 Pu 0.0000 0.5000 0.5000
Zn1 Zn 0.0000 0.0000 0.3313
Zn2 Zn 0.0000 0.5000 0.1643
Zn3 Zn 0.5000 0.0000 0.5000
Zn4 Zn 0.5000 0.2500 0.2492
Zn5 Zn 0.5000 0.5000 0.0000
# DOS(E_F) = 1.20 states/eV/atom
# formation energy = -0.20 eV per atom
# energy = -2.835 eV/atom